(1)
Cd2CoSi: optimized geometry, PBE-GGA.

Cell lengths 7.962, 2.802, 7.167 Å; angles 90.00, 109.29, 90.00 degrees
Fractional positions:
Cd: 0.000 0.000 0.000
Cd: 0.207 0.000 0.673
Cd: 0.500 0.500 0.000
Cd: 0.707 0.500 0.673
Co: 0.148 0.500 0.335
Co: 0.648 0.000 0.335
Si: 0.367 0.000 0.336
Si: 0.867 0.500 0.336

Results
For the density of states at the Fermi level, the calculation gives 3.874 states/eV per cell. The calculated volume comes out at 18.87 A^3/atom. The uncorrected formation energy comes out at 27 meV/atom. For the total DFT energy (no corrections), the calculation gives -28.5 eV for the cell shown.

(2)
CdCoSi2: optimized geometry, PBE-GGA.

Cell lengths 2.644, 4.607, 10.341 Å; angles 90.00, 90.00, 90.00 degrees
Fractional positions:
Cd: 0.000 0.000 0.000
Cd: 0.500 0.500 0.500
Co: 0.000 0.000 0.500
Co: 0.500 0.500 0.000
Si: 0.000 0.500 0.189
Si: 0.000 0.500 0.811
Si: 0.500 0.000 0.311
Si: 0.500 0.000 0.689

Results
For the density of states at the Fermi level, the calculation gives 3.563 states/eV per cell. The calculated volume comes out at 15.74 A^3/atom. The uncorrected formation energy comes out at 176 meV/atom. For the total DFT energy (no corrections), the calculation gives -36.3 eV for the cell shown.

(3)
CdCoSi2: optimized geometry, PBE-GGA.

Cell lengths 3.461, 3.997, 4.731 Å; angles 90.00, 90.32, 90.00 degrees
Fractional positions:
Cd: 0.000 0.000 0.000
Co: 0.500 0.000 0.500
Si: 0.499 0.500 0.748
Si: 0.501 0.500 0.252

Results
For the density of states at the Fermi level, the calculation gives 2.119 states/eV per cell. The calculated volume comes out at 16.36 A^3/atom. The uncorrected formation energy comes out at 214 meV/atom. For the total DFT energy (no corrections), the calculation gives -18.0 eV for the cell shown.

(4)
Cd2CoSi: optimized geometry, PBE-GGA.

Cell lengths 4.101, 3.590, 5.239 Å; angles 90.00, 112.62, 90.00 degrees
Fractional positions:
Cd: 0.000 0.000 0.000
Cd: 0.297 0.500 0.600
Co: 0.714 0.000 0.429
Si: 0.584 0.500 0.171

Results
For the density of states at the Fermi level, the calculation gives 2.596 states/eV per cell. The calculated volume comes out at 17.80 A^3/atom. The uncorrected formation energy comes out at 165 meV/atom. For the total DFT energy (no corrections), the calculation gives -13.7 eV for the cell shown.

(5)
CdCoSi: optimized geometry, PBE-GGA.

Cell lengths 3.895, 3.895, 3.589 Å; angles 90.00, 90.00, 120.00 degrees
Fractional positions:
Cd: 0.000 0.000 0.000
Co: 0.333 0.667 0.500
Si: 0.667 0.333 0.500

Results
For the density of states at the Fermi level, the calculation gives 1.777 states/eV per cell. The calculated volume comes out at 15.71 A^3/atom. The uncorrected formation energy comes out at 78 meV/atom. For the total DFT energy (no corrections), the calculation gives -13.2 eV for the cell shown.

(6)
Cd2CoSi2: optimized geometry, PBE-GGA.

Cell lengths 4.172, 4.172, 11.295 Å; angles 90.00, 90.00, 90.00 degrees
Fractional positions:
Cd: 0.000 0.500 0.250
Cd: 0.000 0.500 0.750
Cd: 0.500 0.000 0.250
Cd: 0.500 0.000 0.750
Co: 0.000 0.000 0.000
Co: 0.500 0.500 0.500
Si: 0.000 0.000 0.402
Si: 0.000 0.000 0.598
Si: 0.500 0.500 0.098
Si: 0.500 0.500 0.902

Results
For the density of states at the Fermi level, the calculation gives 8.855 states/eV per cell. The calculated volume comes out at 19.65 A^3/atom. The uncorrected formation energy comes out at 782 meV/atom. For the total DFT energy (no corrections), the calculation gives -31.7 eV for the cell shown.

(7)
Cd2CoSi: optimized geometry, PBE-GGA.

Cell lengths 4.032, 4.032, 8.056 Å; angles 90.00, 90.00, 90.00 degrees
Fractional positions:
Cd: 0.000 0.000 0.000
Cd: 0.000 0.500 0.250
Cd: 0.500 0.000 0.750
Cd: 0.500 0.500 0.500
Co: 0.000 0.500 0.750
Co: 0.500 0.000 0.250
Si: 0.000 0.000 0.500
Si: 0.500 0.500 0.000

Results
For the density of states at the Fermi level, the calculation gives 5.878 states/eV per cell. The calculated volume comes out at 16.37 A^3/atom. The uncorrected formation energy comes out at 371 meV/atom. For the total DFT energy (no corrections), the calculation gives -25.8 eV for the cell shown.

(8)
Cd3CoSi: optimized geometry, PBE-GGA.

Cell lengths 5.056, 5.056, 5.056 Å; angles 90.00, 90.00, 90.00 degrees
Fractional positions:
Cd: 0.000 0.000 0.500
Cd: 0.000 0.500 0.000
Cd: 0.500 0.000 0.000
Co: 0.500 0.500 0.500
Si: 0.000 0.000 0.000

Results
For the density of states at the Fermi level, the calculation gives 10.829 states/eV per cell. The calculated volume comes out at 25.85 A^3/atom. The uncorrected formation energy comes out at 992 meV/atom. For the total DFT energy (no corrections), the calculation gives -10.3 eV for the cell shown.

(9)
Cd4CoSi: optimized geometry, PBE-GGA.

Cell lengths 5.588, 5.588, 5.588 Å; angles 60.00, 60.00, 60.00 degrees
Fractional positions:
Cd: 0.125 0.125 0.125
Cd: 0.125 0.125 0.626
Cd: 0.125 0.626 0.125
Cd: 0.626 0.125 0.125
Co: 0.750 0.750 0.750
Si: 0.500 0.500 0.500

Results
For the density of states at the Fermi level, the calculation gives 7.379 states/eV per cell. The calculated volume comes out at 20.56 A^3/atom. The uncorrected formation energy comes out at 634 meV/atom. For the total DFT energy (no corrections), the calculation gives -12.4 eV for the cell shown.

(10)
Cd2CoSi: optimized geometry, PBE-GGA.

Cell lengths 2.864, 2.864, 29.761 Å; angles 90.00, 90.00, 120.00 degrees
Fractional positions:
Cd: 0.000 0.000 0.242
Cd: 0.000 0.000 0.758
Cd: 0.333 0.667 0.425
Cd: 0.333 0.667 0.908
Cd: 0.667 0.333 0.092
Cd: 0.667 0.333 0.575
Co: 0.000 0.000 0.500
Co: 0.333 0.667 0.167
Co: 0.667 0.333 0.833
Si: 0.000 0.000 0.000
Si: 0.333 0.667 0.667
Si: 0.667 0.333 0.333

Results
For the density of states at the Fermi level, the calculation gives 7.867 states/eV per cell. The calculated volume comes out at 17.61 A^3/atom. The uncorrected formation energy comes out at 427 meV/atom. For the total DFT energy (no corrections), the calculation gives -37.9 eV for the cell shown.

(11)
Cd2CoSi: optimized geometry, PBE-GGA.

Cell lengths 2.849, 2.849, 8.719 Å; angles 90.00, 90.00, 90.00 degrees
Fractional positions:
Cd: 0.000 0.000 0.216
Cd: 0.000 0.000 0.784
Co: 0.500 0.500 0.000
Si: 0.500 0.500 0.500

Results
For the density of states at the Fermi level, the calculation gives 4.925 states/eV per cell. The calculated volume comes out at 17.69 A^3/atom. The uncorrected formation energy comes out at 436 meV/atom. For the total DFT energy (no corrections), the calculation gives -12.6 eV for the cell shown.

(12)
CdCoSi2: optimized geometry, PBE-GGA.

Cell lengths 3.871, 3.871, 7.838 Å; angles 90.00, 90.00, 90.00 degrees
Fractional positions:
Cd: 0.000 0.000 0.000
Cd: 0.500 0.500 0.500
Co: 0.000 0.500 0.750
Co: 0.500 0.000 0.250
Si: 0.000 0.000 0.500
Si: 0.000 0.500 0.250
Si: 0.500 0.000 0.750
Si: 0.500 0.500 0.000

Results
For the density of states at the Fermi level, the calculation gives 7.033 states/eV per cell. The calculated volume comes out at 14.69 A^3/atom. The uncorrected formation energy comes out at 422 meV/atom. For the total DFT energy (no corrections), the calculation gives -34.4 eV for the cell shown.

(13)
CdCoSi2: optimized geometry, PBE-GGA.

Cell lengths 2.799, 2.799, 7.696 Å; angles 90.00, 90.00, 90.00 degrees
Fractional positions:
Cd: 0.000 0.000 0.000
Co: 0.000 0.000 0.500
Si: 0.500 0.500 0.317
Si: 0.500 0.500 0.683

Results
For the density of states at the Fermi level, the calculation gives 1.854 states/eV per cell. The calculated volume comes out at 15.07 A^3/atom. The uncorrected formation energy comes out at 54 meV/atom. For the total DFT energy (no corrections), the calculation gives -18.7 eV for the cell shown.

(14)
Cd2CoSi: optimized geometry, PBE-GGA.

Cell lengths 3.912, 3.912, 8.606 Å; angles 90.00, 90.00, 90.00 degrees
Fractional positions:
Cd: 0.000 0.500 0.250
Cd: 0.000 0.500 0.750
Cd: 0.500 0.000 0.250
Cd: 0.500 0.000 0.750
Co: 0.000 0.000 0.000
Co: 0.500 0.500 0.500
Si: 0.000 0.000 0.500
Si: 0.500 0.500 0.000

Results
For the density of states at the Fermi level, the calculation gives 4.778 states/eV per cell. The calculated volume comes out at 16.46 A^3/atom. The uncorrected formation energy comes out at 373 meV/atom. For the total DFT energy (no corrections), the calculation gives -25.7 eV for the cell shown.

(15)
CdCoSi2: optimized geometry, PBE-GGA.

Cell lengths 5.239, 7.609, 3.004 Å; angles 90.00, 90.00, 90.00 degrees
Fractional positions:
Cd: 0.000 0.000 0.000
Cd: 0.500 0.500 0.000
Co: 0.000 0.500 0.000
Co: 0.500 0.000 0.000
Si: 0.250 0.250 0.500
Si: 0.250 0.750 0.500
Si: 0.750 0.250 0.500
Si: 0.750 0.750 0.500

Results
For the density of states at the Fermi level, the calculation gives 5.350 states/eV per cell. The calculated volume comes out at 14.97 A^3/atom. The uncorrected formation energy comes out at 474 meV/atom. For the total DFT energy (no corrections), the calculation gives -33.9 eV for the cell shown.

(16)
CdCoSi2: optimized geometry, PBE-GGA.

Cell lengths 3.918, 3.918, 7.755 Å; angles 90.00, 90.00, 90.00 degrees
Fractional positions:
Cd: 0.000 0.000 0.000
Cd: 0.500 0.500 0.500
Co: 0.000 0.000 0.500
Co: 0.500 0.500 0.000
Si: 0.000 0.500 0.250
Si: 0.000 0.500 0.750
Si: 0.500 0.000 0.250
Si: 0.500 0.000 0.750

Results
For the density of states at the Fermi level, the calculation gives 3.575 states/eV per cell. The calculated volume comes out at 14.88 A^3/atom. The uncorrected formation energy comes out at 414 meV/atom. For the total DFT energy (no corrections), the calculation gives -34.4 eV for the cell shown.

(17)
Cd2CoSi: optimized geometry, PBE-GGA.

Cell lengths 5.386, 8.165, 3.117 Å; angles 90.00, 90.31, 90.00 degrees
Fractional positions:
Cd: 0.250 0.250 0.000
Cd: 0.250 0.750 0.000
Cd: 0.750 0.250 0.000
Cd: 0.750 0.750 0.000
Co: 0.000 0.000 0.500
Co: 0.500 0.500 0.500
Si: 0.000 0.500 0.500
Si: 0.500 0.000 0.500

Results
For the density of states at the Fermi level, the calculation gives 6.977 states/eV per cell. The calculated volume comes out at 17.13 A^3/atom. The uncorrected formation energy comes out at 427 meV/atom. For the total DFT energy (no corrections), the calculation gives -25.3 eV for the cell shown.

(18)
CdCoSi: optimized geometry, PBE-GGA.

Cell lengths 3.015, 3.027, 9.792 Å; angles 90.00, 90.00, 90.00 degrees
Fractional positions:
Cd: 0.000 0.000 0.000
Cd: 0.500 0.500 0.500
Co: 0.000 0.000 0.301
Co: 0.500 0.500 0.801
Si: 0.000 0.000 0.712
Si: 0.500 0.500 0.212

Results
For the density of states at the Fermi level, the calculation gives 3.713 states/eV per cell. The calculated volume comes out at 14.89 A^3/atom. The uncorrected formation energy comes out at 0 meV/atom. For the total DFT energy (no corrections), the calculation gives -26.9 eV for the cell shown.

(19)
CdCoSi2: optimized geometry, PBE-GGA.

Cell lengths 3.882, 3.897, 3.915 Å; angles 90.00, 90.00, 90.00 degrees
Fractional positions:
Cd: 0.000 0.000 0.000
Co: 0.500 0.500 0.000
Si: 0.000 0.500 0.500
Si: 0.500 0.000 0.500

Results
For the density of states at the Fermi level, the calculation gives 2.751 states/eV per cell. The calculated volume comes out at 14.81 A^3/atom. The uncorrected formation energy comes out at 452 meV/atom. For the total DFT energy (no corrections), the calculation gives -17.1 eV for the cell shown.

(20)
CdCoSi2: optimized geometry, PBE-GGA.

Cell lengths 2.989, 2.989, 23.751 Å; angles 90.00, 90.00, 120.00 degrees
Fractional positions:
Cd: 0.000 0.000 0.000
Cd: 0.333 0.667 0.667
Cd: 0.667 0.333 0.333
Co: 0.000 0.000 0.758
Co: 0.333 0.667 0.425
Co: 0.667 0.333 0.091
Si: 0.000 0.000 0.232
Si: 0.000 0.000 0.489
Si: 0.333 0.667 0.155
Si: 0.333 0.667 0.899
Si: 0.667 0.333 0.566
Si: 0.667 0.333 0.822

Results
For the density of states at the Fermi level, the calculation gives 8.323 states/eV per cell. The calculated volume comes out at 15.31 A^3/atom. The uncorrected formation energy comes out at 224 meV/atom. For the total DFT energy (no corrections), the calculation gives -53.9 eV for the cell shown.